A plane-wave DFT calculation with PBE-GGA was carried out for a relaxed structure of Ac3BiF.

VASP energy = -4.72 eV/atom
DOS at the Fermi energy = 6.73 states/eV/cell
Crystal system = cubic

a b c (Å): 5.4385 5.4385 5.4385
angles (deg): 90.00 90.00 90.00
Sites, in units of the cell vectors:
Ac (0.5000, 0.0000, 0.0000)
Ac (0.0000, 0.5000, 0.0000)
Ac (0.0000, 0.0000, 0.5000)
Bi (0.5000, 0.5000, 0.5000)
F (0.0000, 0.0000, 0.0000)